Entry from Alexandria via LeMat-Bulk: crystalline Tb3MnO6 at its relaxed geometry (GGA+U).

```
20
Lattice="5.493 0.000 0.000 0.000 5.775 0.000 -5.176 0.000 8.124" Properties=species:S:1:pos:R:3 pbc="T T T"
Tb 0.000 0.000 0.000
Tb -2.588 2.887 4.062
Tb -2.361 0.363 6.115
Tb 0.227 2.525 2.053
Tb 0.090 3.250 6.071
Tb 2.678 5.412 2.009
Mn 0.159 0.000 4.062
Mn 2.747 2.887 0.000
O -0.674 0.352 2.159
O -3.262 2.536 6.222
O 1.192 3.956 0.563
O -1.396 4.706 4.625
O 1.790 1.206 0.596
O -0.798 1.681 4.658
O 1.116 4.093 3.466
O -1.472 4.569 7.528
O 1.713 1.069 3.500
O -0.875 1.819 7.562
O 3.579 3.239 1.903
O 0.991 5.423 5.965
```

Results
As for the total magnetic moment: 4.0 μB per cell. As for the space group: No. 14. The energy above the most stable polymorph in this dataset comes out at 143 meV per atom. For the density of states at the Fermi level, the calculation gives 0.00 states/eV/cell.